# 1
# PBE-GGA BaIr2Rh2, relaxed
data_BaIr2Rh2
_space_group_name_H-M_alt 'I 4/m m m'
_space_group_IT_number 139
_space_group_name_Hall '-I 4 2'
_cell_length_a 4.1447
_cell_length_b 4.1447
_cell_length_c 11.4800
_cell_angle_alpha 90.00
_cell_angle_beta 90.00
_cell_angle_gamma 90.00
loop_
_atom_site_label
_atom_site_type_symbol
_atom_site_fract_x
_atom_site_fract_y
_atom_site_fract_z
_atom_site_occupancy
Ba1 Ba 0.0000 0.0000 0.0000 1
Ir1 Ir 0.0000 0.5000 0.2500 1
Rh1 Rh 0.0000 0.0000 0.3896 1
# E = -33.1 eV per formula unit
# Crystal system = tetragonal
# Energy of formation = 0.26 eV/atom


# 2
# PBE-GGA Ba2IrRh2, relaxed
data_Ba2IrRh2
_space_group_name_H-M_alt 'P 4/m b m'
_space_group_IT_number 127
_space_group_name_Hall '-P 4 2ab'
_cell_length_a 6.9525
_cell_length_b 6.9525
_cell_length_c 4.9929
_cell_angle_alpha 90.00
_cell_angle_beta 90.00
_cell_angle_gamma 90.00
loop_
_atom_site_label
_atom_site_type_symbol
_atom_site_fract_x
_atom_site_fract_y
_atom_site_fract_z
_atom_site_occupancy
Ba1 Ba 0.1851 0.3149 0.0000 1
Ir1 Ir 0.0000 0.0000 0.5000 1
Rh1 Rh 0.1331 0.6331 0.5000 1
# E = -27.0 eV per formula unit
# Crystal system = tetragonal
# Energy of formation = 0.09 eV/atom


# 3
# PBE-GGA Ba2IrRh, relaxed
data_Ba2IrRh
_space_group_name_H-M_alt 'C 1 m 1'
_space_group_IT_number 8
_cell_length_a 10.0385
_cell_length_b 4.5779
_cell_length_c 6.0728
_cell_angle_alpha 90.00
_cell_angle_beta 117.27
_cell_angle_gamma 90.00
loop_
_space_group_symop_operation_xyz
'x,y,z'
'x,-y,z'
'x+1/2,y+1/2,z'
'x+1/2,-y+1/2,z'
loop_
_atom_site_label
_atom_site_type_symbol
_atom_site_fract_x
_atom_site_fract_y
_atom_site_fract_z
_atom_site_occupancy
Ba1 Ba 0.0000 0.0000 0.0000 1
Ba2 Ba 0.1787 0.0000 0.6313 1
Ir1 Ir 0.3691 0.0000 0.2943 1
Rh1 Rh 0.3056 0.5000 0.3289 1
# E = -19.9 eV per formula unit
# Crystal system = monoclinic
# Energy of formation = 0.03 eV/atom


# 4
# PBE-GGA Ba8Ir2Rh, relaxed
data_Ba8Ir2Rh
_space_group_name_H-M_alt 'C 1 2/m 1'
_space_group_IT_number 12
_cell_length_a 16.8244
_cell_length_b 8.5614
_cell_length_c 7.6358
_cell_angle_alpha 90.00
_cell_angle_beta 111.46
_cell_angle_gamma 90.00
loop_
_space_group_symop_operation_xyz
'x,y,z'
'-x,-y,-z'
'-x,y,-z'
'x,-y,z'
'x+1/2,y+1/2,z'
'-x+1/2,-y+1/2,-z'
'-x+1/2,y+1/2,-z'
'x+1/2,-y+1/2,z'
loop_
_atom_site_label
_atom_site_type_symbol
_atom_site_fract_x
_atom_site_fract_y
_atom_site_fract_z
_atom_site_occupancy
Ba1 Ba 0.1080 0.0000 0.4213 1
Ba2 Ba 0.1283 0.2393 0.9311 1
Ba3 Ba 0.1373 0.5000 0.4171 1
Ir1 Ir 0.2467 0.5000 0.1984 1
Rh1 Rh 0.0000 0.0000 0.0000 1
# E = -40.8 eV per formula unit
# Crystal system = monoclinic
# Energy of formation = -0.03 eV/atom


Number 1: magnetic moment 0.00 μB/f.u.. Number 2: magnetic moment 0.83 μB/f.u.. Number 3: magnetic moment 0.00 μB/f.u.. Number 4: magnetic moment 0.00 μB/f.u..